The following is a PBE calculation of a relaxed Rb2YCu2Te4 crystal, from Alexandria.

Output
**Symmetry**: C2/m, No. 12
**D(E_F)**: 4.15 states/eV/f.u.
**Raw formation energy**: -0.840 eV per atom

a = 4.293 Å, b = 8.837 Å, c = 8.296 Å
α = 107.70°, β = 104.99°, γ = 90.00°
Fractional coordinates of all 9 atoms:
Cu (0.318, 0.013, 0.636)
Cu (0.682, 0.987, 0.364)
Rb (0.868, 0.448, 0.736)
Rb (0.132, 0.552, 0.264)
Y (0.000, 0.000, 0.000)
Te (0.798, 0.826, 0.596)
Te (0.476, 0.231, 0.953)
Te (0.202, 0.174, 0.404)
Te (0.524, 0.769, 0.047)


The following is a PBE calculation of a relaxed Rb2ZnCuTe crystal, from Alexandria.

Output
**Symmetry**: P4/mmm, No. 123
**D(E_F)**: 2.87 states/eV/f.u.
**Raw formation energy**: -0.067 eV per atom

a = 7.088 Å, b = 4.957 Å, c = 7.088 Å
α = 90.00°, β = 90.00°, γ = 90.00°
Fractional coordinates of all 5 atoms:
Cu (0.000, 0.500, 0.000)
Zn (0.500, 0.500, 0.500)
Rb (0.500, 0.000, 0.000)
Rb (0.000, 0.000, 0.500)
Te (0.000, 0.000, 0.000)


The following is a PBE calculation of a relaxed RbZrCu2Te4 crystal, from Alexandria.

Output
**Symmetry**: I222, No. 23
**D(E_F)**: 5.75 states/eV/f.u.
**Raw formation energy**: -0.392 eV per atom

a = 6.476 Å, b = 7.564 Å, c = 7.564 Å
α = 78.73°, β = 64.65°, γ = 64.65°
Fractional coordinates of all 8 atoms:
Te (0.572, 0.480, 0.840)
Te (0.892, 0.520, 0.160)
Te (0.428, 0.160, 0.520)
Te (0.108, 0.840, 0.480)
Cu (0.124, 0.376, 0.376)
Cu (0.876, 0.624, 0.624)
Rb (0.000, 0.000, 0.000)
Zr (0.500, 0.500, 0.500)


- Among the records above, which one has the lowest D(E_F)?
  Rb2ZnCuTe


Copy entry 1 word for word.
The following is a PBE calculation of a relaxed Rb2YCu2Te4 crystal, from Alexandria.

Output
**Symmetry**: C2/m, No. 12
**D(E_F)**: 4.15 states/eV/f.u.
**Raw formation energy**: -0.840 eV per atom

a = 4.293 Å, b = 8.837 Å, c = 8.296 Å
α = 107.70°, β = 104.99°, γ = 90.00°
Fractional coordinates of all 9 atoms:
Cu (0.318, 0.013, 0.636)
Cu (0.682, 0.987, 0.364)
Rb (0.868, 0.448, 0.736)
Rb (0.132, 0.552, 0.264)
Y (0.000, 0.000, 0.000)
Te (0.798, 0.826, 0.596)
Te (0.476, 0.231, 0.953)
Te (0.202, 0.174, 0.404)
Te (0.524, 0.769, 0.047)